# 1
A plane-wave DFT calculation with PBE was carried out for crystalline In12Te5Pb3 at its relaxed geometry.

The structure belongs to space group Ia-3d (No. 230); the cell edges are 18.262, 18.262 and 18.262 Å and the angles 90.00°, 90.00° and 90.00°. The asymmetric unit holds In at (0.011, 0.074, 0.656), Te at (0.000, 0.000, 0.000), Te at (0.000, 0.250, 0.375) and Pb at (0.000, 0.250, 0.125).

The volume comes out at 38.06 A^3/atom. The energy relative to the elements, uncorrected is -0.209 eV per formula unit. For the magnetic moment, the calculation gives 0.000 μB/atom.

# 2
A plane-wave DFT calculation with PBE was carried out for crystalline TcAg2Br at its relaxed geometry.

The structure belongs to space group P2/m (No. 10); the cell edges are 4.655, 3.046 and 5.577 Å and the angles 90.00°, 107.25° and 90.00°. The asymmetric unit holds Tc at (0.000, 0.000, 0.000), Ag at (0.000, 0.500, 0.500), Ag at (0.500, 0.000, 0.500) and Br at (0.500, 0.500, 0.000).

The volume comes out at 18.88 A^3/atom. The energy relative to the elements, uncorrected is 2.927 eV per formula unit. The offset from the most stable computed form is 317.8 meV per atom. For the magnetic moment, the calculation gives 0.516 μB/atom.

# 3
A plane-wave DFT calculation with PBE was carried out for crystalline Y4TeAu at its relaxed geometry.

The structure belongs to space group F-43m (No. 216); the cell edges are 8.854, 8.854 and 8.854 Å and the angles 90.00°, 90.00° and 90.00°. The asymmetric unit holds Y at (0.125, 0.125, 0.125), Te at (0.000, 0.000, 0.500) and Au at (0.250, 0.250, 0.750).

The volume comes out at 28.92 A^3/atom. The energy relative to the elements, uncorrected is 0.883 eV per formula unit. The offset from the most stable computed form is 900.2 meV per atom. For the magnetic moment, the calculation gives 0.000 μB/atom.

# 4
A plane-wave DFT calculation with PBE was carried out for crystalline Np2BePt3 at its relaxed geometry.

The structure belongs to space group R-3m (No. 166, hexagonal axes); the cell edges are 5.5711, 5.5711 and 11.6737 Å and the angles 90.00°, 90.00° and 120.00°. The asymmetric unit holds Np at (0.0000, 0.0000, 0.1164), Be at (0.0000, 0.0000, 0.5000) and Pt at (0.0000, 0.5000, 0.0000).

The volume comes out at 17.43 A^3/atom. The calculation puts the formation energy at -0.58 eV/atom. For the magnetic moment, the calculation gives 1.265 μB/atom.

# 5
A plane-wave DFT calculation with PBE was carried out for crystalline Dy6HgSe3S2 at its relaxed geometry.

The structure belongs to space group C2/m (No. 12); the cell edges are 17.755, 3.973 and 8.333 Å and the angles 90.00°, 103.93° and 90.00°. The asymmetric unit holds Dy at (0.005, 0.000, 0.260), Dy at (0.169, 0.500, 0.099), Dy at (0.170, 0.500, 0.571), Hg at (0.000, 0.500, 0.000), Se at (0.000, 0.500, 0.500), Se at (0.166, 0.000, 0.830) and S at (0.170, 0.000, 0.337).

The volume comes out at 23.77 A^3/atom. The energy relative to the elements, uncorrected is -19.097 eV per formula unit. For the magnetic moment, the calculation gives 0.000 μB/atom.

# 6
A plane-wave DFT calculation with PBE was carried out for crystalline Zn2OsPb at its relaxed geometry.

The structure belongs to space group C2/m (No. 12); the cell edges are 9.320, 3.606 and 4.447 Å and the angles 90.00°, 108.96° and 90.00°. The asymmetric unit holds Zn at (0.232, 0.000, 0.188), Os at (0.000, 0.500, 0.000) and Pb at (0.000, 0.000, 0.500).

The volume comes out at 17.67 A^3/atom. The calculation puts the formation energy at 0.50 eV/atom. For the magnetic moment, the calculation gives 0.000 μB/atom.

# 7
A plane-wave DFT calculation with PBE was carried out for crystalline LiPSe at its relaxed geometry.

The structure belongs to space group C2 (No. 5); the cell edges are 9.151, 3.641 and 8.046 Å and the angles 90.00°, 107.25° and 90.00°. The asymmetric unit holds Li at (0.069, 0.000, 0.332), P at (0.178, 0.131, 0.936) and Se at (0.232, 0.996, 0.681).

The volume comes out at 21.33 A^3/atom. The energy relative to the elements, uncorrected is -1.539 eV per formula unit. The offset from the most stable computed form is 45.1 meV per atom. For the magnetic moment, the calculation gives 0.000 μB/atom.

# 8
A plane-wave DFT calculation with PBE was carried out for crystalline PmPrIn4 at its relaxed geometry.

The structure belongs to space group P6/mmm (No. 191); the cell edges are 5.0072, 5.0072 and 7.4694 Å and the angles 90.00°, 90.00° and 120.00°. The asymmetric unit holds Pm at (0.0000, 0.0000, 0.0000), Pr at (0.0000, 0.0000, 0.5000) and In at (0.3333, 0.6667, 0.2459).

The volume comes out at 27.03 A^3/atom. The calculation puts the formation energy at -0.47 eV/atom. The offset from the most stable computed form is 4.1 meV per atom. For the magnetic moment, the calculation gives 0.000 μB/atom.

Energy readings, ordered: -2.995; -3.703; -5.232; -8.535; -5.477; -3.871; -4.116; -3.885 eV per atom